Run A
# HfAsHSe2 | Alexandria | PBE | optimized geometry
# Total moment: 0.128 μB per cell
data_HfAsHSe2
_symmetry_space_group_name_H-M 'P 4/m m m'
_symmetry_Int_Tables_number 123
_symmetry_space_group_name_Hall '-P 4 2'
_cell_length_a 5.1552
_cell_length_b 5.1552
_cell_length_c 5.2869
_cell_angle_alpha 90.00
_cell_angle_beta 90.00
_cell_angle_gamma 90.00
loop_
_atom_site_label
_atom_site_type_symbol
_atom_site_fract_x
_atom_site_fract_y
_atom_site_fract_z
Hf1 Hf 0.0000 0.0000 0.0000
As1 As 0.0000 0.0000 0.5000
H1 H 0.5000 0.5000 0.5000
Se1 Se 0.0000 0.5000 0.0000


Run B
# HfAsHSe2 | Alexandria | PBE | optimized geometry
# Total moment: 0.000 μB per cell
data_HfAsHSe2
_symmetry_space_group_name_H-M 'P 4/m m m'
_symmetry_Int_Tables_number 123
_symmetry_space_group_name_Hall '-P 4 2'
_cell_length_a 4.8643
_cell_length_b 4.8643
_cell_length_c 3.4521
_cell_angle_alpha 90.00
_cell_angle_beta 90.00
_cell_angle_gamma 90.00
loop_
_atom_site_label
_atom_site_type_symbol
_atom_site_fract_x
_atom_site_fract_y
_atom_site_fract_z
Hf1 Hf 0.0000 0.0000 0.0000
As1 As 0.5000 0.5000 0.0000
H1 H 0.5000 0.5000 0.5000
Se1 Se 0.0000 0.5000 0.5000


In order of decreasing stability: run B, run A.


Run A
# HfTe2AsH | Alexandria | PBE | optimized geometry
# Total moment: 0.961 μB per cell
data_HfTe2AsH
_symmetry_space_group_name_H-M 'P 4/m m m'
_symmetry_Int_Tables_number 123
_symmetry_space_group_name_Hall '-P 4 2'
_cell_length_a 5.5647
_cell_length_b 5.5647
_cell_length_c 5.1919
_cell_angle_alpha 90.00
_cell_angle_beta 90.00
_cell_angle_gamma 90.00
loop_
_atom_site_label
_atom_site_type_symbol
_atom_site_fract_x
_atom_site_fract_y
_atom_site_fract_z
Hf1 Hf 0.0000 0.0000 0.0000
Te1 Te 0.0000 0.5000 0.0000
As1 As 0.0000 0.0000 0.5000
H1 H 0.5000 0.5000 0.5000


Run B
# HfTe2AsH | Alexandria | PBE | optimized geometry
# Total moment: 1.378 μB per cell
data_HfTe2AsH
_symmetry_space_group_name_H-M 'P 4/m m m'
_symmetry_Int_Tables_number 123
_symmetry_space_group_name_Hall '-P 4 2'
_cell_length_a 5.5950
_cell_length_b 5.5950
_cell_length_c 5.0146
_cell_angle_alpha 90.00
_cell_angle_beta 90.00
_cell_angle_gamma 90.00
loop_
_atom_site_label
_atom_site_type_symbol
_atom_site_fract_x
_atom_site_fract_y
_atom_site_fract_z
Hf1 Hf 0.0000 0.0000 0.0000
Te1 Te 0.0000 0.5000 0.5000
As1 As 0.0000 0.0000 0.5000
H1 H 0.5000 0.5000 0.0000


In order of decreasing stability: run A, run B.


Run A
# Hg2AsH | Alexandria | PBE | optimized geometry
# Total moment: 1.035 μB per cell
data_Hg2AsH
_symmetry_space_group_name_H-M 'F m -3 m'
_symmetry_Int_Tables_number 225
_symmetry_space_group_name_Hall '-F 4 2 3'
_cell_length_a 6.7194
_cell_length_b 6.7194
_cell_length_c 6.7194
_cell_angle_alpha 90.00
_cell_angle_beta 90.00
_cell_angle_gamma 90.00
loop_
_atom_site_label
_atom_site_type_symbol
_atom_site_fract_x
_atom_site_fract_y
_atom_site_fract_z
Hg1 Hg 0.2500 0.2500 0.2500
As1 As 0.0000 0.0000 0.0000
H1 H 0.0000 0.0000 0.5000


Run B
# Hg2AsH | Alexandria | PBE | optimized geometry
# Total moment: 0.000 μB per cell
data_Hg2AsH
_symmetry_space_group_name_H-M 'I -4 2 d'
_symmetry_Int_Tables_number 122
_symmetry_space_group_name_Hall 'I -4 2bw'
_cell_length_a 5.1104
_cell_length_b 5.1104
_cell_length_c 12.8671
_cell_angle_alpha 90.00
_cell_angle_beta 90.00
_cell_angle_gamma 90.00
loop_
_atom_site_label
_atom_site_type_symbol
_atom_site_fract_x
_atom_site_fract_y
_atom_site_fract_z
Hg1 Hg 0.1735 0.2500 0.1250
As1 As 0.0000 0.0000 0.5000
H1 H 0.0000 0.0000 0.0000


In order of decreasing stability: run B, run A.


Run A
# HgAsH2 | Alexandria | PBE | optimized geometry
# Total moment: 0.000 μB per cell
data_HgAsH2
_symmetry_space_group_name_H-M 'I 41/a m d'
_symmetry_Int_Tables_number 141
_cell_length_a 5.7597
_cell_length_b 5.7597
_cell_length_c 8.1227
_cell_angle_alpha 90.00
_cell_angle_beta 90.00
_cell_angle_gamma 90.00
loop_
_symmetry_equiv_pos_as_xyz
'x,y,z'
'-x,-y,-z'
'-y+1/4,x+3/4,z+1/4'
'y+1/4,-x+3/4,-z+1/4'
'-x+1/2,-y,z+1/2'
'x+1/2,y,-z+1/2'
'y+1/4,-x+1/4,z+3/4'
'-y+1/4,x+1/4,-z+3/4'
'x,-y,-z'
'-x,y,z'
'-y+1/4,-x+1/4,-z+3/4'
'y+1/4,x+1/4,z+3/4'
'-x+1/2,y,-z+1/2'
'x+1/2,-y,z+1/2'
'y+1/4,x+3/4,-z+1/4'
'-y+1/4,-x+3/4,z+1/4'
'x+1/2,y+1/2,z+1/2'
'-x+1/2,-y+1/2,-z+1/2'
'-y+3/4,x+1/4,z+3/4'
'y+3/4,-x+1/4,-z+3/4'
'-x,-y+1/2,z'
'x,y+1/2,-z'
'y+3/4,-x+3/4,z+1/4'
'-y+3/4,x+3/4,-z+1/4'
'x+1/2,-y+1/2,-z+1/2'
'-x+1/2,y+1/2,z+1/2'
'-y+3/4,-x+3/4,-z+1/4'
'y+3/4,x+3/4,z+1/4'
'-x,y+1/2,-z'
'x,-y+1/2,z'
'y+3/4,x+1/4,-z+3/4'
'-y+3/4,-x+1/4,z+3/4'
loop_
_atom_site_label
_atom_site_type_symbol
_atom_site_fract_x
_atom_site_fract_y
_atom_site_fract_z
Hg1 Hg 0.0000 0.2500 0.3750
As1 As 0.0000 0.2500 0.8750
H1 H 0.0000 0.0000 0.0000


Run B
# HgAsH2 | Alexandria | PBE | optimized geometry
# Total moment: 0.000 μB per cell
data_HgAsH2
_symmetry_space_group_name_H-M 'F m -3 m'
_symmetry_Int_Tables_number 225
_symmetry_space_group_name_Hall '-F 4 2 3'
_cell_length_a 5.8431
_cell_length_b 5.8431
_cell_length_c 5.8431
_cell_angle_alpha 90.00
_cell_angle_beta 90.00
_cell_angle_gamma 90.00
loop_
_atom_site_label
_atom_site_type_symbol
_atom_site_fract_x
_atom_site_fract_y
_atom_site_fract_z
Hg1 Hg 0.0000 0.0000 0.0000
As1 As 0.0000 0.0000 0.5000
H1 H 0.2500 0.2500 0.2500


In order of decreasing stability: run A, run B.


Run A
# Hg3AsH | Alexandria | PBE | optimized geometry
# Total moment: 0.000 μB per cell
data_Hg3AsH
_symmetry_space_group_name_H-M 'P m -3 m'
_symmetry_Int_Tables_number 221
_symmetry_space_group_name_Hall '-P 4 2 3'
_cell_length_a 4.6157
_cell_length_b 4.6157
_cell_length_c 4.6157
_cell_angle_alpha 90.00
_cell_angle_beta 90.00
_cell_angle_gamma 90.00
loop_
_atom_site_label
_atom_site_type_symbol
_atom_site_fract_x
_atom_site_fract_y
_atom_site_fract_z
Hg1 Hg 0.0000 0.0000 0.5000
As1 As 0.5000 0.5000 0.5000
H1 H 0.0000 0.0000 0.0000


Run B
# Hg3AsH | Alexandria | PBE | optimized geometry
# Total moment: 0.000 μB per cell
data_Hg3AsH
_symmetry_space_group_name_H-M 'P 1 m 1'
_symmetry_Int_Tables_number 6
_symmetry_space_group_name_Hall 'P -2y'
_cell_length_a 4.0821
_cell_length_b 10.0215
_cell_length_c 5.7036
_cell_angle_alpha 90.00
_cell_angle_beta 90.26
_cell_angle_gamma 90.00
loop_
_atom_site_label
_atom_site_type_symbol
_atom_site_fract_x
_atom_site_fract_y
_atom_site_fract_z
Hg1 Hg 0.0000 0.0000 0.0000
Hg2 Hg 0.0012 0.2802 0.5026
Hg3 Hg 0.4993 0.5000 0.5026
Hg4 Hg 0.5021 0.2199 0.0020
As1 As 0.4953 0.5000 0.0027
As2 As 0.9963 0.0000 0.5002
H1 H 0.1155 0.5000 0.0011
H2 H 0.6166 0.0000 0.4984


In order of decreasing stability: run B, run A.


Run A
# HgAs3H | Alexandria | PBE | optimized geometry
# Total moment: 1.058 μB per cell
data_HgAs3H
_symmetry_space_group_name_H-M 'P m -3 m'
_symmetry_Int_Tables_number 221
_symmetry_space_group_name_Hall '-P 4 2 3'
_cell_length_a 5.2754
_cell_length_b 5.2754
_cell_length_c 5.2754
_cell_angle_alpha 90.00
_cell_angle_beta 90.00
_cell_angle_gamma 90.00
loop_
_atom_site_label
_atom_site_type_symbol
_atom_site_fract_x
_atom_site_fract_y
_atom_site_fract_z
Hg1 Hg 0.0000 0.0000 0.0000
As1 As 0.0000 0.0000 0.5000
H1 H 0.5000 0.5000 0.5000


Run B
# HgAs3H | Alexandria | PBE | optimized geometry
# Total moment: 0.000 μB per cell
data_HgAs3H
_symmetry_space_group_name_H-M 'P m -3 m'
_symmetry_Int_Tables_number 221
_symmetry_space_group_name_Hall '-P 4 2 3'
_cell_length_a 4.4331
_cell_length_b 4.4331
_cell_length_c 4.4331
_cell_angle_alpha 90.00
_cell_angle_beta 90.00
_cell_angle_gamma 90.00
loop_
_atom_site_label
_atom_site_type_symbol
_atom_site_fract_x
_atom_site_fract_y
_atom_site_fract_z
Hg1 Hg 0.0000 0.0000 0.0000
As1 As 0.0000 0.5000 0.5000
H1 H 0.5000 0.5000 0.5000


In order of decreasing stability: run B, run A.